Record 1
## CsHf2AsOs (PBE)

Data for crystalline CsHf2AsOs at its relaxed geometry.

The structure in CIF format:
```
data_CsHf2AsOs
_chemical_formula_sum 'Cs1 Hf2 As1 Os1'
_cell_length_a 5.069
_cell_length_b 5.069
_cell_length_c 5.670
_cell_angle_alpha 90.00
_cell_angle_beta 90.00
_cell_angle_gamma 90.00
_symmetry_space_group_name_H-M 'P 4/m m m'
_symmetry_Int_Tables_number 123
_symmetry_space_group_name_Hall '-P 4 2'
loop_
_atom_site_label
_atom_site_type_symbol
_atom_site_fract_x
_atom_site_fract_y
_atom_site_fract_z
_atom_site_occupancy
Cs1 Cs 0.000 0.000 0.000 1
Hf1 Hf 0.000 0.500 0.500 1
As1 As 0.500 0.500 0.000 1
Os1 Os 0.000 0.000 0.500 1
```

Properties
Formation energy from the elements, eV/atom: 0.936
Fermi-level density of states, states/eV/cell: 3.2
Magnetization, μB per atom: 0.00
Energy, eV per atom: -6.392

Record 2
## Cs2LiH2 (PBE)

Data for crystalline Cs2LiH2 at its relaxed geometry.

The structure in CIF format:
```
data_Cs2LiH2
_chemical_formula_sum 'Cs4 Li2 H4'
_cell_length_a 5.919
_cell_length_b 5.919
_cell_length_c 11.195
_cell_angle_alpha 90.00
_cell_angle_beta 90.00
_cell_angle_gamma 90.00
_symmetry_space_group_name_H-M 'I 4/m m m'
_symmetry_Int_Tables_number 139
_symmetry_space_group_name_Hall '-I 4 2'
loop_
_atom_site_label
_atom_site_type_symbol
_atom_site_fract_x
_atom_site_fract_y
_atom_site_fract_z
_atom_site_occupancy
Cs1 Cs 0.000 0.500 0.250 1
Li1 Li 0.000 0.000 0.000 1
H1 H 0.000 0.000 0.158 1
```

Properties
Energy above the lowest structure with this stoichiometry, kJ/mol of formula units: 19
Fermi-level density of states, states/eV/cell: 1.6
Magnetization, μB per atom: 0.20
Energy, eV per atom: -2.152

Record 3
## HoTlPbAu (PBE)

Data for crystalline HoTlPbAu at its relaxed geometry.

The structure in CIF format:
```
data_HoTlPbAu
_chemical_formula_sum 'Ho4 Tl4 Pb4 Au4'
_cell_length_a 7.417
_cell_length_b 7.417
_cell_length_c 7.417
_cell_angle_alpha 90.00
_cell_angle_beta 90.00
_cell_angle_gamma 90.00
_symmetry_space_group_name_H-M 'F -4 3 m'
_symmetry_Int_Tables_number 216
_symmetry_space_group_name_Hall 'F -4 2 3'
loop_
_atom_site_label
_atom_site_type_symbol
_atom_site_fract_x
_atom_site_fract_y
_atom_site_fract_z
_atom_site_occupancy
Ho1 Ho 0.000 0.000 0.000 1
Tl1 Tl 0.250 0.250 0.750 1
Pb1 Pb 0.000 0.000 0.500 1
Au1 Au 0.250 0.250 0.250 1
```

Properties
Formation energy from the elements, eV/atom: -0.256
Fermi-level density of states, states/eV/cell: 9.6
Magnetization, μB per atom: 0.00
Energy, eV per atom: -3.739